No. 1
{"formula": "Te3MoI", "functional": "PBE-GGA", "state": "optimized geometry", "e_form_raw_mev_per_atom": 308, "lattice_angstrom": [[5.333, 0.000, 0.000], [0.000, 5.333, 0.000], [0.000, 0.000, 5.333]], "species": ["Te", "Te", "Te", "Mo", "I"], "frac_coords": [[0.000, 0.000, 0.500], [0.000, 0.500, 0.000], [0.500, 0.000, 0.000], [0.000, 0.000, 0.000], [0.500, 0.500, 0.500]]}


No. 2
{"formula": "Ho6BeZn5", "functional": "PBE-GGA", "state": "optimized geometry", "formation_enthalpy_0k_ev_per_atom": -0.266, "lattice_angstrom": [[-2.491, 3.546, 7.450], [2.491, -3.546, 7.450], [2.491, 3.546, -7.450]], "species": ["Ho", "Ho", "Ho", "Ho", "Ho", "Ho", "Be", "Zn", "Zn", "Zn", "Zn", "Zn"], "frac_coords": [[0.082, 0.336, 0.746], [0.241, 0.000, 0.241], [0.409, 0.664, 0.746], [0.591, 0.336, 0.254], [0.759, 0.000, 0.759], [0.918, 0.664, 0.254], [0.000, 0.500, 0.500], [0.169, 0.169, 0.000], [0.333, 0.833, 0.500], [0.500, 0.500, 0.000], [0.667, 0.167, 0.500], [0.831, 0.831, 0.000]]}


No. 3
{"formula": "Mg6Tl2Cd", "functional": "PBE-GGA", "state": "optimized geometry", "formation_enthalpy_0k_ev_per_atom": -0.022, "lattice_angstrom": [[4.277, -2.648, 0.000], [4.277, 2.648, 0.000], [-1.032, 0.000, 9.324]], "species": ["Mg", "Mg", "Mg", "Mg", "Mg", "Mg", "Tl", "Tl", "Cd"], "frac_coords": [[0.000, 0.000, 0.168], [0.000, 0.000, 0.832], [0.330, 0.330, 0.055], [0.331, 0.331, 0.396], [0.669, 0.669, 0.604], [0.670, 0.670, 0.945], [0.338, 0.338, 0.731], [0.662, 0.662, 0.269], [0.000, 0.000, 0.500]]}


No. 4
{"formula": "SmBRh", "functional": "PBE-GGA", "state": "optimized geometry", "formation_enthalpy_0k_ev_per_atom": -0.169, "lattice_angstrom": [[-1.503, 1.503, 5.171], [1.503, -1.503, 5.171], [1.503, 1.503, -5.171]], "species": ["Sm", "B", "Rh"], "frac_coords": [[0.000, 0.000, 0.000], [0.698, 0.698, 0.000], [0.276, 0.276, 0.000]]}


No. 5
{"formula": "HoErU", "functional": "PBE-GGA", "state": "optimized geometry", "formation_enthalpy_0k_ev_per_atom": 0.216, "lattice_angstrom": [[8.436, -1.806, 0.000], [8.436, 1.806, 0.000], [-0.838, 0.000, 5.596]], "species": ["Ho", "Ho", "Er", "Er", "U", "U"], "frac_coords": [[0.112, 0.112, 0.312], [0.888, 0.888, 0.688], [0.430, 0.430, 0.206], [0.570, 0.570, 0.794], [0.241, 0.241, 0.842], [0.759, 0.759, 0.158]]}


No. 6
{"formula": "Pm5Cd4Ga", "functional": "PBE-GGA", "state": "optimized geometry", "formation_enthalpy_0k_ev_per_atom": -0.366, "lattice_angstrom": [[3.761, 0.000, 0.000], [0.000, 3.761, 0.000], [0.000, 0.000, 19.361]], "species": ["Pm", "Pm", "Pm", "Pm", "Pm", "Cd", "Cd", "Cd", "Cd", "Ga"], "frac_coords": [[0.000, 0.000, 0.000], [0.000, 0.000, 0.204], [0.000, 0.000, 0.410], [0.000, 0.000, 0.590], [0.000, 0.000, 0.796], [0.500, 0.500, 0.102], [0.500, 0.500, 0.305], [0.500, 0.500, 0.695], [0.500, 0.500, 0.898], [0.500, 0.500, 0.500]]}


No. 7
{"formula": "InCoSb2", "functional": "PBE-GGA", "state": "optimized geometry", "e_form_raw_mev_per_atom": 84, "lattice_angstrom": [[-1.604, 1.606, 9.162], [1.604, -1.606, 9.162], [1.604, 1.606, -9.162]], "species": ["In", "Co", "Sb", "Sb"], "frac_coords": [[0.000, 0.000, 0.000], [0.734, 0.234, 0.500], [0.164, 0.664, 0.500], [0.344, 0.344, 0.000]]}


No. 8
{"formula": "CaAgBr2", "functional": "PBE-GGA", "state": "optimized geometry", "e_form_raw_mev_per_atom": -877, "lattice_angstrom": [[4.333, 0.000, 0.000], [0.000, 4.333, 0.000], [0.000, 0.000, 5.835]], "species": ["Ca", "Ag", "Br", "Br"], "frac_coords": [[0.000, 0.000, 0.000], [0.500, 0.500, 0.336], [0.000, 0.000, 0.496], [0.500, 0.500, 0.840]]}


No. 9
{"formula": "BaLi2LaCo", "functional": "PBE-GGA", "state": "optimized geometry", "formation_enthalpy_0k_ev_per_atom": 0.550, "lattice_angstrom": [[5.065, 0.000, 0.000], [0.000, 5.065, 0.000], [0.000, 0.000, 5.227]], "species": ["Ba", "Li", "Li", "La", "Co"], "frac_coords": [[0.000, 0.000, 0.000], [0.000, 0.500, 0.500], [0.500, 0.000, 0.500], [0.500, 0.500, 0.000], [0.000, 0.000, 0.500]]}


No. 10
{"formula": "LaThIr2", "functional": "PBE-GGA", "state": "optimized geometry", "formation_enthalpy_0k_ev_per_atom": -0.721, "lattice_angstrom": [[3.590, 0.000, 0.000], [0.000, 3.590, 0.000], [0.000, 0.000, 7.237]], "species": ["La", "Th", "Ir", "Ir"], "frac_coords": [[0.000, 0.000, 0.000], [0.000, 0.000, 0.500], [0.500, 0.500, 0.276], [0.500, 0.500, 0.724]]}


No. 11
{"formula": "ThZnAgPd", "functional": "PBE-GGA", "state": "optimized geometry", "formation_enthalpy_0k_ev_per_atom": -0.400, "lattice_angstrom": [[3.949, -2.283, 0.000], [3.949, 2.283, 0.000], [-2.626, 0.000, 4.680]], "species": ["Th", "Zn", "Ag", "Pd"], "frac_coords": [[0.000, 0.000, 0.000], [0.483, 0.483, 0.447], [0.217, 0.217, 0.651], [0.781, 0.781, 0.343]]}


No. 12
{"formula": "AlGaPb3", "functional": "PBE-GGA", "state": "optimized geometry", "formation_enthalpy_0k_ev_per_atom": 0.460, "lattice_angstrom": [[5.479, 0.000, 0.000], [0.000, 5.479, 0.000], [0.000, 0.000, 5.479]], "species": ["Al", "Ga", "Pb", "Pb", "Pb"], "frac_coords": [[0.000, 0.000, 0.000], [0.500, 0.500, 0.500], [0.000, 0.000, 0.500], [0.000, 0.500, 0.000], [0.500, 0.000, 0.000]]}


| no. | magnetic moment (μB per cell) | DOS(E_F) (states/eV/cell) |
| --- | --- | --- |
| 1 | 0.000 | 6.2 |
| 2 | 0.000 | 13.9 |
| 3 | 0.000 | 2.5 |
| 4 | 0.000 | 2.2 |
| 5 | 2.939 | 11.1 |
| 6 | 0.926 | 11.0 |
| 7 | 0.008 | 3.0 |
| 8 | 0.000 | 2.1 |
| 9 | 0.037 | 6.9 |
| 10 | 0.000 | 1.8 |
| 11 | 0.000 | 2.6 |
| 12 | 0.000 | 3.8 |